# SiGeBP2 PBE-GGA optimized geometry
# Total magnetization: 0.000 μB per formula unit
# Uncorrected formation energy: 17.197 kcal/mol of atoms
data_SiGeBP2
_symmetry_space_group_name_H-M 'P 4/m m m'
_symmetry_Int_Tables_number 123
_symmetry_space_group_name_Hall '-P 4 2'
_cell_length_a 4.304
_cell_length_b 4.304
_cell_length_c 3.977
_cell_angle_alpha 90.00
_cell_angle_beta 90.00
_cell_angle_gamma 90.00
loop_
_atom_site_label
_atom_site_fract_x
_atom_site_fract_y
_atom_site_fract_z
Si1 0.000 0.000 0.000
Ge1 0.500 0.500 0.000
B1 0.000 0.000 0.500
P1 0.000 0.500 0.500